Zn2TcBiTe | GGA-PBE | optimized geometry Values from VASP.

Cell and atoms, written as Quantum ESPRESSO input:
```
&SYSTEM
  ibrav = 0, nat = 5, ntyp = 4
/
ATOMIC_SPECIES
Zn 65.41 Zn.upf
Te 127.60 Te.upf
Bi 208.98 Bi.upf
Tc 98.00 Tc.upf
CELL_PARAMETERS angstrom
5.239 0.000 0.000
0.000 5.498 0.000
0.000 0.000 5.239
ATOMIC_POSITIONS crystal
Zn 0.000 0.000 0.500
Zn 0.500 0.000 0.000
Te 0.500 0.500 0.500
Bi 0.000 0.000 0.000
Tc 0.000 0.500 0.000
```

## Properties
The symmetry is P4/mmm, No. 123. The value obtained for the total energy is -2.920 eV per atom. The uncorrected formation energy is 1.0671 eV/atom.

KGa3Sn2 | GGA-PBE | optimized geometry Values from VASP.

Cell and atoms, written as Quantum ESPRESSO input:
```
&SYSTEM
  ibrav = 0, nat = 12, ntyp = 3
/
ATOMIC_SPECIES
K 39.10 K.upf
Ga 69.72 Ga.upf
Sn 118.71 Sn.upf
CELL_PARAMETERS angstrom
4.667 0.000 1.376
1.318 7.960 4.133
-0.118 0.278 9.003
ATOMIC_POSITIONS crystal
K 0.162 0.762 0.915
K 0.838 0.238 0.085
Ga 0.730 0.973 0.567
Ga 0.035 0.275 0.655
Ga 0.432 0.478 0.658
Ga 0.568 0.522 0.342
Ga 0.965 0.725 0.345
Ga 0.270 0.027 0.433
Sn 0.542 0.106 0.811
Sn 0.458 0.894 0.189
Sn 0.155 0.386 0.305
Sn 0.845 0.614 0.695
```

## Properties
The symmetry is C2/m, No. 12. The value obtained for the total energy is -3.133 eV per atom. For the formation energy, the calculation gives -0.102 eV/atom.

Nd8Ru2Pt | GGA-PBE | optimized geometry Values from VASP.

Cell and atoms, written as Quantum ESPRESSO input:
```
&SYSTEM
  ibrav = 0, nat = 11, ntyp = 3
/
ATOMIC_SPECIES
Nd 144.24 Nd.upf
Ru 101.07 Ru.upf
Pt 195.08 Pt.upf
CELL_PARAMETERS angstrom
6.295 0.056 -1.062
-2.054 6.832 -2.994
-0.181 -0.243 7.731
ATOMIC_POSITIONS crystal
Nd 0.587 0.351 0.084
Nd 0.587 0.084 0.351
Nd 0.178 0.362 0.362
Nd 0.986 0.210 0.790
Nd 0.986 0.790 0.210
Nd 0.791 0.645 0.645
Nd 0.375 0.921 0.656
Nd 0.375 0.656 0.921
Ru 0.483 0.695 0.316
Ru 0.483 0.316 0.695
Pt 0.170 0.004 0.004
```

## Properties
The symmetry is Cm, No. 8. The value obtained for the total energy is -5.955 eV per atom. The energy above the most stable polymorph in this dataset is 31 meV/atom. For the formation energy, the calculation gives -0.251 eV/atom.

BeTlAs2 | GGA-PBE | optimized geometry Values from VASP.

Cell and atoms, written as Quantum ESPRESSO input:
```
&SYSTEM
  ibrav = 0, nat = 4, ntyp = 3
/
ATOMIC_SPECIES
Be 9.01 Be.upf
Tl 204.38 Tl.upf
As 74.92 As.upf
CELL_PARAMETERS angstrom
-4.930 -2.805 -2.081
0.542 -1.694 -5.774
1.455 -0.388 5.851
ATOMIC_POSITIONS crystal
Be 0.750 0.250 0.500
Tl 0.250 0.750 0.500
As 0.930 0.930 0.000
As 0.570 0.570 0.000
```

## Properties
The symmetry is Immm, No. 71. The value obtained for the total energy is -3.510 eV per atom. The energy above the most stable polymorph in this dataset is 351 meV/atom. For the formation energy, the calculation gives 0.338 eV/atom.

TlAsBr2 | GGA-PBE | optimized geometry Values from VASP.

Cell and atoms, written as Quantum ESPRESSO input:
```
&SYSTEM
  ibrav = 0, nat = 8, ntyp = 3
/
ATOMIC_SPECIES
Tl 204.38 Tl.upf
As 74.92 As.upf
Br 79.90 Br.upf
CELL_PARAMETERS angstrom
-0.742 4.440 -1.371
-6.522 -0.881 0.675
1.254 -1.696 9.899
ATOMIC_POSITIONS crystal
Tl 0.000 0.867 0.000
Tl 0.000 0.367 0.500
As 0.500 0.155 0.500
As 0.500 0.655 0.000
Br 0.794 0.709 0.295
Br 0.206 0.709 0.705
Br 0.794 0.209 0.795
Br 0.206 0.209 0.205
```

## Properties
The symmetry is C2, No. 5. The value obtained for the total energy is -2.853 eV per atom. The energy above the most stable polymorph in this dataset is 0 meV/atom. The uncorrected formation energy is -0.2622 eV/atom.

LiLa2GeO6 | GGA-PBE | optimized geometry Values from VASP.

Cell and atoms, written as Quantum ESPRESSO input:
```
&SYSTEM
  ibrav = 0, nat = 20, ntyp = 4
/
ATOMIC_SPECIES
Li 6.94 Li.upf
La 138.91 La.upf
Ge 72.64 Ge.upf
O 16.00 O.upf
CELL_PARAMETERS angstrom
5.647 0.000 -0.050
0.000 5.366 0.000
-0.019 0.000 7.908
ATOMIC_POSITIONS crystal
Li 0.500 0.000 0.000
Li 0.000 0.500 0.500
La 0.005 0.999 0.251
La 0.505 0.501 0.751
La 0.995 0.001 0.749
La 0.495 0.499 0.249
Ge 0.500 0.000 0.500
Ge 0.000 0.500 0.000
O 0.238 0.743 0.046
O 0.738 0.757 0.546
O 0.762 0.257 0.954
O 0.262 0.243 0.454
O 0.264 0.756 0.454
O 0.764 0.744 0.954
O 0.736 0.244 0.546
O 0.236 0.256 0.046
O 0.917 0.500 0.235
O 0.417 0.000 0.735
O 0.083 0.500 0.765
O 0.583 0.000 0.265
```

## Properties
The symmetry is P2_1/c, No. 14. The value obtained for the total energy is -7.137 eV per atom. The uncorrected formation energy is -2.5236 eV/atom.

Which formula does entry 4 have? BeTlAs2